Here is crystalline Co3TeF at its relaxed geometry from the Alexandria database. Energies are from PBE+U.

Cell: 4.8252 4.8252 4.8252 Å, 90.00 90.00 90.00°
Last column: nearest neighbours and their distance in Å.
Element x y z (fractional)
Co (0.0000, 0.0000, 0.5000)  2 Te 2.41
Co (0.5000, 0.0000, 0.0000)  2 Te 2.41
Co (0.0000, 0.5000, 0.0000)  2 Te 2.41
F (0.5000, 0.5000, 0.5000)  12 Co 3.41
Te (0.0000, 0.0000, 0.0000)  6 Co 2.41

## Properties
Energy: -3.318 eV per atom
Calculated volume: 22.47 A^3/atom
Energy above the most stable polymorph in this dataset: 3.15 eV/f.u.
N(E_F): 2.233 states/eV/cell